# BaCaGeN2 (PBE, optimized geometry)
# DOS at the Fermi energy in states/eV/atom: 0.836
# Uncorrected energy in eV for the cell shown: -52.24
data_BaCaGeN2
_cell_length_a 6.058
_cell_length_b 5.211
_cell_length_c 7.125
_cell_angle_alpha 90.00
_cell_angle_beta 90.03
_cell_angle_gamma 90.00
_space_group_name_H-M_alt 'P 1 2/c 1'
_space_group_IT_number 13
_space_group_name_Hall '-P 2yc'
loop_
_atom_site_label
_atom_site_type_symbol
_atom_site_fract_x
_atom_site_fract_y
_atom_site_fract_z
Ba1 Ba 0.000 0.001 0.250
Ca1 Ca 0.500 0.500 0.250
Ge1 Ge 0.500 0.000 0.000
N1 N 0.289 0.261 0.000